[1]
A geometry-optimized Cs3AlSi structure. Source: the Alexandria database, functional PBE.

Values from the calculation:
- formation energy from raw total energies (eV/atom) = 0.71
- relative energy among the computed polymorphs (meV/atom) = 0

Cell and atoms, written as POSCAR:
```
Cs3AlSi
1.0
7.129 0.000 0.000
0.000 7.129 0.000
0.000 0.000 7.129
Cs Al Si
3 1 1
Direct
0.000 0.000 0.500 Cs
0.000 0.500 0.000 Cs
0.500 0.000 0.000 Cs
0.500 0.500 0.500 Al
0.000 0.000 0.000 Si
```

=====

[2]
A geometry-optimized Pa2SiRu structure. Source: the Alexandria database, functional PBE.

Values from the calculation:
- formation energy from raw total energies (eV/atom) = -0.54
- relative energy among the computed polymorphs (meV/atom) = 0

Cell and atoms, written as POSCAR:
```
Pa2SiRu
1.0
5.772 0.000 0.000
0.000 3.863 0.000
-2.498 0.000 7.566
Pa Si Ru
4 2 2
Direct
0.203 0.250 0.410 Pa
0.283 0.750 0.067 Pa
0.717 0.250 0.933 Pa
0.797 0.750 0.590 Pa
0.356 0.750 0.703 Si
0.644 0.250 0.297 Si
0.117 0.250 0.800 Ru
0.883 0.750 0.200 Ru
```

=====

[3]
A geometry-optimized Ti3Zn2Cu2 structure. Source: the Alexandria database, functional PBE.

Cell and atoms, written as POSCAR:
```
Ti3Zn2Cu2
1.0
2.033 -9.169 0.000
2.033 9.169 0.000
0.000 0.000 2.794
Ti Zn Cu
3 2 2
Direct
0.000 0.000 0.000 Ti
0.145 0.855 0.000 Ti
0.855 0.145 0.000 Ti
0.287 0.713 0.500 Zn
0.713 0.287 0.500 Zn
0.428 0.572 0.500 Cu
0.572 0.428 0.500 Cu
```

=====

[4]
A geometry-optimized MgZn2Cd2Pd5 structure. Source: the Alexandria database, functional PBE.

Cell and atoms, written as POSCAR:
```
MgZn2Cd2Pd5
1.0
9.416 0.000 0.000
0.000 9.416 0.000
0.000 0.000 3.795
Mg Zn Cd Pd
2 4 4 10
Direct
0.000 0.000 0.000 Mg
0.500 0.500 0.000 Mg
0.127 0.373 0.000 Zn
0.373 0.873 0.000 Zn
0.627 0.127 0.000 Zn
0.873 0.627 0.000 Zn
0.171 0.671 0.000 Cd
0.329 0.171 0.000 Cd
0.671 0.829 0.000 Cd
0.829 0.329 0.000 Cd
0.000 0.500 0.500 Pd
0.078 0.197 0.500 Pd
0.197 0.922 0.500 Pd
0.303 0.422 0.500 Pd
0.422 0.697 0.500 Pd
0.500 0.000 0.500 Pd
0.578 0.303 0.500 Pd
0.697 0.578 0.500 Pd
0.803 0.078 0.500 Pd
0.922 0.803 0.500 Pd
```

=====

What final energy values result from the calculations? In sequence: -8.19 -35.85 -34.86 -36.06 eV/f.u..